# 1
First-principles (PBE) data for a relaxed structure of ZnSbAs2, as listed in Alexandria.

Cell: 3.788 3.788 6.473 Å, 90.00 90.00 90.00°
Element x y z (fractional)
Zn 0.000 0.000 0.000
Sb 0.500 0.500 0.861
As 0.000 0.000 0.385
As 0.500 0.500 0.448

The density of states at the Fermi level comes out at 0.19 states/eV/atom. As for the magnetization: 0.000 μB per cell. Its crystal system is tetragonal. For the formation energy (no corrections), the calculation gives 84 meV/atom. The space group is P4mm (99).

# 2
First-principles (PBE) data for a relaxed structure of Zn2SbAs, as listed in Alexandria.

Cell: 3.863 3.980 5.335 Å, 90.00 90.00 90.00°
Element x y z (fractional)
Zn 0.000 0.000 0.000
Zn 0.500 0.000 0.500
Sb 0.000 0.500 0.500
As 0.500 0.500 0.000

The density of states at the Fermi level comes out at 0.37 states/eV/atom. As for the magnetization: 0.000 μB per cell. Its crystal system is orthorhombic. For the formation energy (no corrections), the calculation gives 220 meV/atom. The space group is Pmmm (47).

# 3
First-principles (PBE) data for a relaxed structure of Zn3SbAs, as listed in Alexandria.

Cell: 4.872 4.872 4.872 Å, 90.00 90.00 90.00°
Element x y z (fractional)
Zn 0.000 0.000 0.500
Zn 0.000 0.500 0.000
Zn 0.500 0.000 0.000
Sb 0.500 0.500 0.500
As 0.000 0.000 0.000

The density of states at the Fermi level comes out at 1.02 states/eV/atom. As for the magnetization: 0.000 μB per cell. Its crystal system is cubic. For the formation energy (no corrections), the calculation gives 358 meV/atom. The space group is Pm-3m (221).

> Look up the formation energy (no corrections) of the first one.

84 meV/atom